No. 1
A plane-wave DFT calculation with PBE was carried out for InCo2Hg after structural relaxation.

Output
- SG: P4mm (99)
- Calculated volume: 16.76 Å³ per atom
- ΔH_f (0 K): 0.26 eV/atom
- Excess energy over the best structure of this formula in the dataset: 0.00 kJ per mole of atoms
- Total DFT energy (no corrections): -4.0523 eV/atom

Lattice parameters (Å, degrees): 2.9981 2.9981 7.4568 90.00 90.00 90.00
Sites, in units of the cell vectors:
In: 0.0000 0.0000 0.0000
Co: 0.0000 0.0000 0.3961
Co: 0.5000 0.5000 0.2397
Hg: 0.5000 0.5000 0.6463



No. 2
A plane-wave DFT calculation with PBE was carried out for Y4TlSbSe2 after structural relaxation.

Output
- SG: P2/m (10)
- Calculated volume: 27.12 Å³ per atom
- E_form (uncorrected): -1242 meV per atom
- Total DFT energy (no corrections): -6.1564 eV/atom

Lattice parameters (Å, degrees): 7.3520 4.1647 7.4741 90.00 108.52 90.00
Sites, in units of the cell vectors:
Y: 0.2436 0.0000 0.2360
Y: 0.2547 0.5000 0.7596
Y: 0.7453 0.5000 0.2404
Y: 0.7564 0.0000 0.7640
Tl: 0.5000 0.5000 0.5000
Sb: 0.0000 0.0000 0.5000
Se: 0.0000 0.5000 0.0000
Se: 0.5000 0.0000 0.0000



No. 3
A plane-wave DFT calculation with PBE was carried out for CsHoBiBr6 after structural relaxation.

Output
- SG: P1 (1)
- Calculated volume: 46.30 Å³ per atom
- E_form (uncorrected): -1377 meV per atom
- Total DFT energy (no corrections): -3.5270 eV/atom

Lattice parameters (Å, degrees): 7.5682 7.6226 7.8982 92.22 92.46 113.48
Sites, in units of the cell vectors:
Cs: 0.0000 0.0000 0.0000
Ho: 0.3408 0.6613 0.5024
Bi: 0.6865 0.3125 0.5001
Br: 0.0542 0.3740 0.6818
Br: 0.0634 0.6519 0.2705
Br: 0.3565 0.9339 0.7392
Br: 0.3789 0.3574 0.2986
Br: 0.6265 0.9470 0.3211
Br: 0.6481 0.6200 0.7019



No. 4
A plane-wave DFT calculation with PBE was carried out for CaPrSi3 after structural relaxation.

Output
- SG: Cmcm (63)
- Calculated volume: 21.96 Å³ per atom
- E_form (uncorrected): -565 meV per atom
- Total DFT energy (no corrections): -5.1746 eV/atom

Lattice parameters (Å, degrees): 12.7337 12.7337 3.9729 90.00 90.00 160.07
Sites, in units of the cell vectors:
Ca: 0.2028 0.7972 0.7500
Ca: 0.7972 0.2028 0.2500
Pr: 0.0701 0.9299 0.2500
Pr: 0.9299 0.0701 0.7500
Si: 0.3264 0.6736 0.7500
Si: 0.3813 0.6187 0.2500
Si: 0.4757 0.5243 0.2500
Si: 0.5243 0.4757 0.7500
Si: 0.6187 0.3813 0.7500
Si: 0.6736 0.3264 0.2500



No. 5
A plane-wave DFT calculation with PBE was carried out for Ba2CdN2 after structural relaxation.

Output
- SG: I4/mmm (139)
- Calculated volume: 24.90 Å³ per atom
- E_form (uncorrected): -256 meV per atom
- Total DFT energy (no corrections): -4.5380 eV/atom

Lattice parameters (Å, degrees): 4.2332 4.2332 13.8963 90.00 90.00 90.00
Sites, in units of the cell vectors:
Ba: 0.0000 0.0000 0.1610
Ba: 0.0000 0.0000 0.8390
Ba: 0.5000 0.5000 0.3390
Ba: 0.5000 0.5000 0.6610
Cd: 0.0000 0.0000 0.5000
Cd: 0.5000 0.5000 0.0000
N: 0.0000 0.0000 0.3507
N: 0.0000 0.0000 0.6493
N: 0.5000 0.5000 0.1493
N: 0.5000 0.5000 0.8507



No. 6
A plane-wave DFT calculation with PBE was carried out for Tl12SnPb6 after structural relaxation.

Output
- SG: R-3 (148)
- Calculated volume: 32.35 Å³ per atom
- ΔH_f (0 K): 0.03 eV/atom
- Total DFT energy (no corrections): -2.8491 eV/atom

Lattice parameters (Å, degrees): 8.5020 8.5020 8.5020 89.87 89.87 89.87
Sites, in units of the cell vectors:
Tl: 0.0217 0.3033 0.9307
Tl: 0.0693 0.9783 0.6967
Tl: 0.1296 0.3497 0.4576
Tl: 0.3033 0.9307 0.0217
Tl: 0.3497 0.4576 0.1296
Tl: 0.4576 0.1296 0.3497
Tl: 0.5424 0.8704 0.6503
Tl: 0.6503 0.5424 0.8704
Tl: 0.6967 0.0693 0.9783
Tl: 0.8704 0.6503 0.5424
Tl: 0.9307 0.0217 0.3033
Tl: 0.9783 0.6967 0.0693
Sn: 0.5000 0.5000 0.5000
Pb: 0.2321 0.7590 0.3915
Pb: 0.2410 0.6085 0.7679
Pb: 0.3915 0.2321 0.7590
Pb: 0.6085 0.7679 0.2410
Pb: 0.7590 0.3915 0.2321
Pb: 0.7679 0.2410 0.6085



No. 7
A plane-wave DFT calculation with PBE was carried out for Ga3Fe7H2 after structural relaxation.

Output
- SG: Cmmm (65)
- Calculated volume: 10.50 Å³ per atom
- Total DFT energy (no corrections): -6.3596 eV/atom

Lattice parameters (Å, degrees): 9.4894 9.4894 3.6981 90.00 90.00 157.77
Sites, in units of the cell vectors:
Ga: 0.0000 0.0000 0.0000
Ga: 0.1957 0.8043 0.0000
Ga: 0.8043 0.1957 0.0000
Fe: 0.0991 0.9009 0.5000
Fe: 0.2982 0.7018 0.5000
Fe: 0.4016 0.5984 0.0000
Fe: 0.5000 0.5000 0.5000
Fe: 0.5984 0.4016 0.0000
Fe: 0.7018 0.2982 0.5000
Fe: 0.9009 0.0991 0.5000
H: 0.3996 0.6004 0.5000
H: 0.6004 0.3996 0.5000



No. 8
A plane-wave DFT calculation with PBE was carried out for Cu2SbW after structural relaxation.

Output
- SG: P4/mmm (123)
- Calculated volume: 16.81 Å³ per atom
- E_form (uncorrected): 485 meV per atom
- Total DFT energy (no corrections): -5.8322 eV/atom

Lattice parameters (Å, degrees): 2.8490 2.8490 8.2851 90.00 90.00 90.00
Sites, in units of the cell vectors:
Cu: 0.0000 0.0000 0.2204
Cu: 0.0000 0.0000 0.7796
Sb: 0.5000 0.5000 0.5000
W: 0.5000 0.5000 0.0000



No. 9
A plane-wave DFT calculation with PBE was carried out for LaNd3Al after structural relaxation.

Output
- SG: Cmcm (63)
- Calculated volume: 30.89 Å³ per atom
- ΔH_f (0 K): -0.10 eV/atom
- Excess energy over the best structure of this formula in the dataset: 0.00 kJ per mole of atoms
- Total DFT energy (no corrections): -4.6945 eV/atom

Lattice parameters (Å, degrees): 13.1293 13.1293 4.9297 90.00 90.00 158.68
Sites, in units of the cell vectors:
La: 0.1540 0.8460 0.7500
La: 0.8460 0.1540 0.2500
Nd: 0.0565 0.9435 0.2500
Nd: 0.2489 0.7511 0.2500
Nd: 0.4460 0.5540 0.2500
Nd: 0.5540 0.4460 0.7500
Nd: 0.7511 0.2489 0.7500
Nd: 0.9435 0.0565 0.7500
Al: 0.3464 0.6536 0.7500
Al: 0.6536 0.3464 0.2500



No. 10
A plane-wave DFT calculation with PBE was carried out for ZrCuSeBr2 after structural relaxation.

Output
- SG: P4/mmm (123)
- Calculated volume: 23.49 Å³ per atom
- E_form (uncorrected): 96 meV per atom
- Excess energy over the best structure of this formula in the dataset: 36.37 kJ per mole of atoms
- Total DFT energy (no corrections): -3.7991 eV/atom

Lattice parameters (Å, degrees): 4.8460 4.8460 5.0021 90.00 90.00 90.00
Sites, in units of the cell vectors:
Zr: 0.0000 0.0000 0.0000
Cu: 0.5000 0.5000 0.5000
Se: 0.5000 0.5000 0.0000
Br: 0.0000 0.5000 0.5000
Br: 0.5000 0.0000 0.5000



No. 11
A plane-wave DFT calculation with PBE was carried out for Ce2HoCo after structural relaxation.

Output
- SG: Pnma (62)
- Calculated volume: 24.17 Å³ per atom
- ΔH_f (0 K): -0.13 eV/atom
- Excess energy over the best structure of this formula in the dataset: 0.04 kJ per mole of atoms
- Total DFT energy (no corrections): -6.0212 eV/atom

Lattice parameters (Å, degrees): 6.7749 9.4583 6.0362 90.00 90.00 90.00
Sites, in units of the cell vectors:
Ce: 0.1561 0.0621 0.1387
Ce: 0.1561 0.4379 0.1387
Ce: 0.3439 0.5621 0.6387
Ce: 0.3439 0.9379 0.6387
Ce: 0.6561 0.0621 0.3613
Ce: 0.6561 0.4379 0.3613
Ce: 0.8439 0.5621 0.8613
Ce: 0.8439 0.9379 0.8613
Ho: 0.0539 0.2500 0.6288
Ho: 0.4461 0.7500 0.1288
Ho: 0.5539 0.2500 0.8712
Ho: 0.9461 0.7500 0.3712
Co: 0.0933 0.7500 0.8789
Co: 0.4067 0.2500 0.3789
Co: 0.5933 0.7500 0.6211
Co: 0.9067 0.2500 0.1211



No. 12
A plane-wave DFT calculation with PBE was carried out for BaLiSmPb after structural relaxation.

Output
- SG: F-43m (216)
- Calculated volume: 33.27 Å³ per atom
- ΔH_f (0 K): -0.23 eV/atom
- Total DFT energy (no corrections): -3.2971 eV/atom

Lattice parameters (Å, degrees): 8.1046 8.1046 8.1046 90.00 90.00 90.00
Sites, in units of the cell vectors:
Ba: 0.0000 0.0000 0.0000
Ba: 0.0000 0.5000 0.5000
Ba: 0.5000 0.0000 0.5000
Ba: 0.5000 0.5000 0.0000
Li: 0.2500 0.2500 0.7500
Li: 0.2500 0.7500 0.2500
Li: 0.7500 0.2500 0.2500
Li: 0.7500 0.7500 0.7500
Sm: 0.0000 0.0000 0.5000
Sm: 0.0000 0.5000 0.0000
Sm: 0.5000 0.0000 0.0000
Sm: 0.5000 0.5000 0.5000
Pb: 0.2500 0.2500 0.2500
Pb: 0.2500 0.7500 0.7500
Pb: 0.7500 0.2500 0.7500
Pb: 0.7500 0.7500 0.2500